## PmSmAg6 (PBE)

Data for a relaxed structure of PmSmAg6.

## Properties
Electronic total energy   -3.56 eV/atom
Space group   No. 148
Volume   21.47 Å³ per atom
ρ   9.11 g cm⁻³
Magnetic moment   0.0000 μB/atom
Energy above the most stable polymorph in this dataset   0.000 eV per atom

abc: 5.601 5.601 5.601
angles: 96.80 96.80 96.80
Atoms (fractional coordinates):
Pm 0.000 0.000 0.000
Sm 0.500 0.500 0.500
Ag 0.036 0.749 0.464
Ag 0.251 0.536 0.964
Ag 0.464 0.036 0.749
Ag 0.536 0.964 0.251
Ag 0.749 0.464 0.036
Ag 0.964 0.251 0.536